Material: Tb6PrNd6
Method: DFT, PBE
State: optimized geometry

Values from the calculation:
The uncorrected energy is -58.44 eV for the cell shown. The calculation puts the spin magnetization at 0.00 μB/f.u. Its volume is 454 Å³/cell. The crystal system is monoclinic. The energy relative to the elements comes out at 0.210 eV/atom.

a = 6.636 Å, b = 11.374 Å, c = 6.672 Å
α = 90.00°, β = 115.57°, γ = 90.00°
Space group P2/m (No. 10)
Unique sites:
Tb 0.000 0.202 0.000 x2
Tb 0.000 0.283 0.500 x2
Tb 0.500 0.265 0.000 x2
Pr 0.500 0.500 0.500 x1
Nd 0.174 0.500 0.892 x2
Nd 0.219 0.000 0.767 x2
Nd 0.500 0.163 0.500 x2

Material: Tb8Pr2Nd3
Method: DFT, PBE
State: optimized geometry

Values from the calculation:
The uncorrected energy is -60.69 eV for the cell shown. The calculation puts the spin magnetization at 0.00 μB/f.u. Its volume is 433 Å³/cell. The crystal system is triclinic. The energy relative to the elements comes out at 0.017 eV/atom.

a = 6.254 Å, b = 6.265 Å, c = 11.413 Å
α = 89.91°, β = 79.42°, γ = 80.40°
Space group P-1 (No. 2)
Unique sites:
Tb 0.038 0.076 0.345 x2
Tb 0.192 0.385 0.731 x2
Tb 0.347 0.693 0.116 x2
Tb 0.424 0.846 0.808 x2
Pr 0.116 0.231 0.038 x2
Nd 0.269 0.538 0.422 x2
Nd 0.500 0.000 0.500 x1

Material: Tb3Pr4Nd
Method: DFT, PBE
State: optimized geometry

Values from the calculation:
The uncorrected energy is -75.04 eV for the cell shown. The calculation puts the spin magnetization at 0.00 μB/f.u. Its volume is 556 Å³/cell. The crystal system is orthorhombic. The energy relative to the elements comes out at 0.032 eV/atom.

a = 11.814 Å, b = 7.387 Å, c = 6.375 Å
α = 90.00°, β = 90.00°, γ = 90.00°
Space group Pmn2_1 (No. 31)
Unique sites:
Tb 0.000 0.121 0.000 x2
Tb 0.250 0.121 0.333 x4
Pr 0.000 0.371 0.496 x2
Pr 0.000 0.629 0.003 x2
Pr 0.247 0.373 0.835 x4
Nd 0.000 0.876 0.502 x2

Material: Tb8Pr2Nd
Method: DFT, PBE
State: optimized geometry

Values from the calculation:
The uncorrected energy is -99.38 eV for the cell shown. The calculation puts the spin magnetization at 0.00 μB/f.u. Its volume is 740 Å³/cell. The crystal system is monoclinic. The energy relative to the elements comes out at 0.153 eV/atom.

a = 9.109 Å, b = 16.219 Å, c = 5.971 Å
α = 90.00°, β = 122.93°, γ = 90.00°
Space group C2/m (No. 12)
Unique sites:
Tb 0.000 0.208 0.000 x4
Tb 0.073 0.500 0.795 x4
Tb 0.215 0.116 0.674 x8
Pr 0.000 0.306 0.500 x4
Nd 0.000 0.000 0.000 x2

Material: Tb2Pr4Nd5
Method: DFT, PBE
State: optimized geometry

Values from the calculation:
The uncorrected energy is -51.27 eV for the cell shown. The calculation puts the spin magnetization at 0.00 μB/f.u. Its volume is 388 Å³/cell. The crystal system is monoclinic. The energy relative to the elements comes out at 0.086 eV/atom.

a = 9.086 Å, b = 3.572 Å, c = 11.993 Å
α = 90.00°, β = 94.35°, γ = 90.00°
Space group P2/m (No. 10)
Unique sites:
Tb 0.057 0.000 0.135 x2
Pr 0.154 0.500 0.394 x2
Pr 0.289 0.500 0.951 x2
Nd 0.199 0.000 0.670 x2
Nd 0.426 0.000 0.209 x2
Nd 0.500 0.000 0.500 x1

Material: Tb5Pr2Nd4
Method: DFT, PBE
State: optimized geometry

Values from the calculation:
The uncorrected energy is -100.93 eV for the cell shown. The calculation puts the spin magnetization at 0.00 μB/f.u. Its volume is 758 Å³/cell. The crystal system is monoclinic. The energy relative to the elements comes out at 0.120 eV/atom.

a = 11.242 Å, b = 7.533 Å, c = 9.375 Å
α = 90.00°, β = 107.19°, γ = 90.00°
Space group C2/m (No. 12)
Unique sites:
Tb 0.000 0.000 0.000 x2
Tb 0.067 0.282 0.274 x8
Pr 0.142 0.000 0.628 x4
Nd 0.175 0.500 0.623 x4
Nd 0.186 0.500 0.997 x4

Material: Tb3PrNd5
Method: DFT, PBE
State: optimized geometry

Values from the calculation:
The uncorrected energy is -160.04 eV for the cell shown. The calculation puts the spin magnetization at 0.00 μB/f.u. Its volume is 1274 Å³/cell. The crystal system is monoclinic. The energy relative to the elements comes out at 0.278 eV/atom.

a = 20.565 Å, b = 6.274 Å, c = 11.655 Å
α = 90.00°, β = 122.08°, γ = 90.00°
Space group C2/c (No. 15)
Unique sites:
Tb 0.000 0.000 0.000 x4
Tb 0.178 0.224 0.029 x8
Pr 0.000 0.123 0.750 x4
Nd 0.000 0.395 0.250 x4
Nd 0.141 0.320 0.653 x8
Nd 0.180 0.190 0.336 x8

Material: Tb6Pr12Nd
Method: DFT, PBE
State: optimized geometry

Values from the calculation:
The uncorrected energy is -262.52 eV for the cell shown. The calculation puts the spin magnetization at 0.00 μB/f.u. Its volume is 2021 Å³/cell. The crystal system is trigonal. The energy relative to the elements comes out at 0.126 eV/atom.

a = 12.2787 Å, b = 12.2787 Å, c = 15.4766 Å
α = 90.00°, β = 90.00°, γ = 120.00°
Space group R-3 (No. 148, hexagonal axes)
Unique sites:
Tb 0.0153 0.4277 0.1866 x18
Pr 0.0029 0.8289 0.6919 x18
Pr 0.0477 0.8494 0.9166 x18
Nd 0.0000 0.0000 0.5000 x3